# 1
Material: Ba2CrFeRu
Method: DFT, PBE-GGA
State: relaxed

Cell and atoms, written as POSCAR:
```
Ba2CrFeRu
1.0
5.960 0.000 0.000
0.000 5.960 0.000
0.000 0.000 4.344
Ba Cr Fe Ru
2 1 1 1
Direct
0.000 0.500 0.000
0.500 0.000 0.000
0.000 0.000 0.500
0.500 0.500 0.000
0.500 0.500 0.500
```

E = -23.9 eV for the cell shown
E_form = 7.30 eV/f.u.
Crystal system = tetragonal

# 2
Material: BaCrFeSi2
Method: DFT, PBE-GGA
State: relaxed

Cell and atoms, written as POSCAR:
```
BaCrFeSi2
1.0
4.592 0.000 0.000
0.000 4.592 0.000
0.000 0.000 5.528
Ba Cr Fe Si
1 1 1 2
Direct
0.000 0.000 0.000
0.000 0.000 0.500
0.500 0.500 0.000
0.000 0.500 0.500
0.500 0.000 0.500
```

E = -26.5 eV for the cell shown
Raw formation energy = 0.875 eV/atom
Crystal system = tetragonal